Mg8Ag2Hg | GGA-PBE | relaxed

a = 4.724 Å, b = 6.994 Å, c = 8.159 Å
α = 115.38°, β = 106.83°, γ = 90.00°
Atoms (fractional coordinates):
Hg 0.500 0.000 0.000
Mg 0.655 0.430 0.310
Mg 0.000 0.713 0.000
Mg 0.345 0.570 0.690
Mg 0.164 0.164 0.328
Mg 0.836 0.836 0.672
Ag 0.817 0.317 0.635
Mg 0.655 0.879 0.310
Mg 0.345 0.121 0.690
Ag 0.183 0.683 0.365
Mg 0.000 0.287 0.000

Values from the calculation:
* total DFT energy (no corrections): -1.842 eV per atom
* SG: Immm, No. 71
* energy relative to the lowest polymorph listed for this composition: 0.000 eV/atom
* ΔE_f: -145 kJ/mol of formula units



LaSb2Te | GGA-PBE | relaxed

a = 6.579 Å, b = 6.579 Å, c = 4.716 Å
α = 79.94°, β = 79.94°, γ = 38.48°
Atoms (fractional coordinates):
Te 0.750 0.750 0.750
La 0.250 0.250 0.250
Sb 0.991 0.991 0.040
Sb 0.509 0.509 0.460

Values from the calculation:
* formation energy without anion corrections: -2.9 eV/f.u.
* total DFT energy (no corrections): -4.798 eV per atom
* SG: C2/m, No. 12



no.,size of the total moment (μB/cell)
1,0.00
2,0.00